Record 1
VASP calculation (PBE) on crystalline HoAl2Ga at its relaxed geometry.

The space group is Cmcm (No. 63) and the conventional cell measures 6.232, 10.865 and 4.576 Å, with angles of 90.00, 90.00 and 90.00 degrees. Symmetry generates all atoms from Ho at (0.000, 0.168, 0.250), Al at (0.221, 0.429, 0.250) and Ga at (0.000, 0.351, 0.750).

The final energy comes out at -67.7 eV per cell. Its magnetization is 0.000 μB per atom.

***

Record 2
VASP calculation (PBE) on crystalline HoAl2Ga at its relaxed geometry.

The space group is Ama2 (No. 40) and the conventional cell measures 4.587, 10.790 and 6.260 Å, with angles of 90.00, 90.00 and 90.00 degrees. Symmetry generates all atoms from Ho at (0.250, 0.166, 0.000), Al at (0.250, 0.146, 0.501), Al at (0.250, 0.425, 0.780) and Ga at (0.250, 0.423, 0.222).

The final energy comes out at -67.7 eV per cell. Its magnetization is 0.000 μB per atom.

***

Record 3
VASP calculation (PBE) on crystalline Ho3AlGa2 at its relaxed geometry.

The space group is P6/mmm (No. 191) and the conventional cell measures 6.1587, 6.1587 and 4.7417 Å, with angles of 90.00, 90.00 and 120.00 degrees. Symmetry generates all atoms from Ho at (0.0000, 0.5000, 0.0000), Al at (0.0000, 0.0000, 0.5000) and Ga at (0.3333, 0.6667, 0.5000).

The final energy comes out at -22.3 eV per cell. Its magnetization is 0.004 μB per atom.

***

Record 4
VASP calculation (PBE) on crystalline HoAlGa4Ir at its relaxed geometry.

The space group is P4/mmm (No. 123) and the conventional cell measures 4.337, 4.337 and 6.827 Å, with angles of 90.00, 90.00 and 90.00 degrees. Symmetry generates all atoms from Ho at (0.000, 0.000, 0.000), Al at (0.500, 0.500, 0.000), Ga at (0.000, 0.500, 0.300) and Ir at (0.000, 0.000, 0.500).

The final energy comes out at -33.0 eV per cell. Its magnetization is 0.000 μB per atom.

***

Record 5
VASP calculation (PBE) on crystalline Ho3Mg3AlGa2 at its relaxed geometry.

The space group is P-62m (No. 189) and the conventional cell measures 7.2578, 7.2578 and 4.4815 Å, with angles of 90.00, 90.00 and 120.00 degrees. Symmetry generates all atoms from Ho at (0.0000, 0.4339, 0.0000), Mg at (0.0000, 0.7570, 0.5000), Al at (0.0000, 0.0000, 0.0000) and Ga at (0.3333, 0.6667, 0.5000).

The final energy comes out at -32.1 eV per cell. Its magnetization is 0.000 μB per atom.

***

Record 6
VASP calculation (PBE) on crystalline Ho3Mg3Al2Ga at its relaxed geometry.

The space group is P-62m (No. 189) and the conventional cell measures 7.3307, 7.3307 and 4.4580 Å, with angles of 90.00, 90.00 and 120.00 degrees. Symmetry generates all atoms from Ho at (0.0000, 0.4239, 0.0000), Mg at (0.0000, 0.7592, 0.5000), Al at (0.3333, 0.6667, 0.5000) and Ga at (0.0000, 0.0000, 0.0000).

The final energy comes out at -32.2 eV per cell. Its magnetization is 0.000 μB per atom.

***

Record 7
VASP calculation (PBE) on crystalline Nd2HoMg3AlGa2 at its relaxed geometry.

The space group is Amm2 (No. 38) and the conventional cell measures 4.562, 12.722 and 7.450 Å, with angles of 90.00, 90.00 and 90.00 degrees. Symmetry generates all atoms from Nd at (0.000, 0.216, 0.000), Ho at (0.000, 0.000, 0.648), Mg at (0.500, 0.000, 0.974), Mg at (0.500, 0.121, 0.340), Al at (0.000, 0.000, 0.224) and Ga at (0.500, 0.163, 0.716).

The final energy comes out at -64.9 eV per cell. Its magnetization is 0.001 μB per atom.

***

Record 8
VASP calculation (PBE) on crystalline TbHo2Mg3AlGa2 at its relaxed geometry.

The space group is Amm2 (No. 38) and the conventional cell measures 4.498, 12.607 and 7.253 Å, with angles of 90.00, 90.00 and 90.00 degrees. Symmetry generates all atoms from Tb at (0.000, 0.000, 0.000), Ho at (0.000, 0.217, 0.348), Mg at (0.500, 0.000, 0.321), Mg at (0.500, 0.122, 0.687), Al at (0.000, 0.000, 0.563) and Ga at (0.500, 0.167, 0.065).

The final energy comes out at -64.3 eV per cell. Its magnetization is 0.000 μB per atom.